Record 1
First-principles (GGA-PBEsol) data for a geometry-optimized Al2TlCl structure, as listed in Alexandria via LeMat-Bulk.

a = 3.188 Å, b = 5.205 Å, c = 5.205 Å
α = 90.00°, β = 90.00°, γ = 90.00°
Sites, in units of the cell vectors:
1 Tl 0.500 0.000 0.000
2 Al 0.000 0.500 0.000
3 Al 0.000 0.000 0.500
4 Cl 0.500 0.500 0.500

Calculated values
For the uncorrected formation energy, the calculation gives 48 meV per atom. For the energy above the most stable polymorph in this dataset, the calculation gives 195 meV per atom.

=====

Record 2
First-principles (GGA-PBEsol) data for a geometry-optimized PPtAu structure, as listed in Alexandria via LeMat-Bulk.

a = 3.277 Å, b = 3.277 Å, c = 5.021 Å
α = 109.05°, β = 109.05°, γ = 90.00°
Sites, in units of the cell vectors:
1 Au 0.008 0.008 0.015
2 Pt 0.700 0.700 0.400
3 P 0.292 0.292 0.585

Calculated values
For the energy of formation, the calculation gives -0.029 eV per atom. For the energy above the most stable polymorph in this dataset, the calculation gives 0 meV per atom.

=====

Record 3
First-principles (GGA-PBEsol) data for a geometry-optimized Ba2ZnWO6 structure, as listed in Alexandria via LeMat-Bulk.

a = 5.735 Å, b = 5.735 Å, c = 5.735 Å
α = 60.00°, β = 60.00°, γ = 60.00°
Sites, in units of the cell vectors:
1 O 0.762 0.762 0.238
2 Ba 0.750 0.750 0.750
3 W 0.000 0.000 0.000
4 Zn 0.500 0.500 0.500
5 O 0.762 0.238 0.762
6 O 0.238 0.762 0.762
7 Ba 0.250 0.250 0.250
8 O 0.238 0.762 0.238
9 O 0.238 0.238 0.762
10 O 0.762 0.238 0.238

Calculated values
For the uncorrected formation energy, the calculation gives -2468 meV per atom.

=====

Record 4
First-principles (GGA-PBEsol) data for a geometry-optimized Li2FeW structure, as listed in Alexandria via LeMat-Bulk.

a = 2.907 Å, b = 3.826 Å, c = 4.620 Å
α = 90.00°, β = 90.00°, γ = 90.00°
Sites, in units of the cell vectors:
1 Fe 0.000 0.500 0.500
2 W 0.500 0.000 0.500
3 Li 0.000 0.000 0.000
4 Li 0.500 0.500 0.000

Calculated values
For the energy of formation, the calculation gives 0.409 eV per atom. For the energy above the most stable polymorph in this dataset, the calculation gives 0 meV per atom.

=====

Record 5
First-principles (GGA-PBEsol) data for a geometry-optimized HfTiMn2Cd structure, as listed in Alexandria via LeMat-Bulk.

a = 4.742 Å, b = 4.742 Å, c = 5.183 Å
α = 90.00°, β = 90.00°, γ = 90.00°
Sites, in units of the cell vectors:
1 Cd 0.000 0.000 0.000
2 Hf 0.000 0.000 0.500
3 Mn 0.500 0.000 0.000
4 Ti 0.500 0.500 0.500
5 Mn 0.000 0.500 0.000

Calculated values
For the energy of formation, the calculation gives 1.633 eV per atom.

=====

Record 6
First-principles (GGA-PBEsol) data for a geometry-optimized YCoTeI2 structure, as listed in Alexandria via LeMat-Bulk.

a = 5.794 Å, b = 5.794 Å, c = 5.929 Å
α = 90.00°, β = 90.00°, γ = 90.00°
Sites, in units of the cell vectors:
1 Te 0.000 0.000 0.500
2 Y 0.000 0.000 0.000
3 Co 0.500 0.500 0.500
4 I 0.500 0.000 0.000
5 I 0.000 0.500 0.000

Calculated values
For the uncorrected formation energy, the calculation gives 242 meV per atom.

=====

Record 7
First-principles (GGA-PBEsol) data for a geometry-optimized ScAlAg3 structure, as listed in Alexandria via LeMat-Bulk.

a = 4.700 Å, b = 4.700 Å, c = 4.700 Å
α = 90.00°, β = 90.00°, γ = 90.00°
Sites, in units of the cell vectors:
1 Ag 0.500 0.000 0.000
2 Al 0.000 0.000 0.000
3 Sc 0.500 0.500 0.500
4 Ag 0.000 0.500 0.000
5 Ag 0.000 0.000 0.500

Calculated values
For the energy of formation, the calculation gives 0.299 eV per atom.

=====

Record 8
First-principles (GGA-PBEsol) data for a geometry-optimized HfZnC3 structure, as listed in Alexandria via LeMat-Bulk.

a = 4.244 Å, b = 4.244 Å, c = 4.244 Å
α = 90.00°, β = 90.00°, γ = 90.00°
Sites, in units of the cell vectors:
1 C 0.000 0.000 0.500
2 Zn 0.500 0.500 0.500
3 C 0.500 0.000 0.000
4 Hf 0.000 0.000 0.000
5 C 0.000 0.500 0.000

Calculated values
For the energy of formation, the calculation gives 2.172 eV per atom.

=====

Calculated raw total energy, -0.23206, -0.41074, -0.55758, -0.46064, -0.46128, -0.29998, -0.28131, -0.44331 Ry/atom (same order as the records).
Calculated magnetization, 0.00, 0.00, 0.00, 0.00, 9.60, 2.56, 0.00, 0.00 μB/cell (same order as the records).